Entry 1:
A relaxed AlCl5 crystal. Source: the Alexandria database, functional GGA-PBEsol.

Summary:
* DFT total energy: -0.107 Ha/atom
* formation energy (no corrections): -3.298 eV/f.u.
* energy above the most stable polymorph in this dataset: 381.2 meV per atom
* space-group type: P-62m (189)

Cell: 2.851 8.625 8.625 Å, 120.00 90.00 90.00°
Each line ends with the local moment (μB).
Atoms (fractional coordinates):
Al (0.500, 0.000, 0.000)  0.00
Cl (0.000, 0.209, 0.209)  0.00
Cl (0.000, 0.791, 0.000)  0.00
Cl (0.000, 0.000, 0.791)  0.00
Cl (0.500, 0.333, 0.667)  0.18
Cl (0.500, 0.667, 0.333)  0.18

---

Entry 2:
A relaxed AlCl3 crystal. Source: the Alexandria database, functional GGA-PBEsol.

Summary:
* DFT total energy: -0.149 Ha/atom
* formation energy (no corrections): -6.132 eV/f.u.
* space-group type: C2/m (12)

Cell: 5.920 5.920 6.463 Å, 98.59 98.59 119.98°
Atoms (fractional coordinates):
Al (0.833, 0.167, 0.000)
Al (0.167, 0.833, 0.000)
Cl (0.789, 0.789, 0.784)
Cl (0.211, 0.211, 0.216)
Cl (0.570, 0.929, 0.215)
Cl (0.071, 0.430, 0.785)
Cl (0.430, 0.071, 0.785)
Cl (0.929, 0.570, 0.215)